Material: SrV4Ag2O12
Method: DFT, PBE+U
State: relaxed

Cell: 10.7197 10.7197 5.0922 Å, 90.00 90.00 90.00°
Atoms (fractional coordinates):
Sr 0.2500 0.2500 0.0000
Sr 0.7500 0.7500 0.0000
V 0.0324 0.7500 0.5000
V 0.2500 0.5324 0.5000
V 0.2500 0.9676 0.5000
V 0.4676 0.7500 0.5000
V 0.5324 0.2500 0.5000
V 0.7500 0.0324 0.5000
V 0.7500 0.4676 0.5000
V 0.9676 0.2500 0.5000
Ag 0.0000 0.0000 0.0000
Ag 0.0000 0.5000 0.0000
Ag 0.5000 0.0000 0.0000
Ag 0.5000 0.5000 0.0000
O 0.0537 0.1800 0.2640
O 0.0537 0.3200 0.7360
O 0.1329 0.6329 0.6510
O 0.1329 0.8671 0.3490
O 0.1800 0.0537 0.7360
O 0.1800 0.4463 0.2640
O 0.3200 0.0537 0.2640
O 0.3200 0.4463 0.7360
O 0.3671 0.6329 0.3490
O 0.3671 0.8671 0.6510
O 0.4463 0.1800 0.7360
O 0.4463 0.3200 0.2640
O 0.5537 0.6800 0.7360
O 0.5537 0.8200 0.2640
O 0.6329 0.1329 0.3490
O 0.6329 0.3671 0.6510
O 0.6800 0.5537 0.2640
O 0.6800 0.9463 0.7360
O 0.8200 0.5537 0.7360
O 0.8200 0.9463 0.2640
O 0.8671 0.1329 0.6510
O 0.8671 0.3671 0.3490
O 0.9463 0.6800 0.2640
O 0.9463 0.8200 0.7360

Calculated values
- Space group: P4/nbm, No. 125
- E: -6.857 eV per atom